Below is a relaxed structure of La2HgAs4Pt3, with properties calculated at the PBE level.

The structure belongs to space group P-4m2 (No. 115); the cell edges are 4.6152, 4.6152 and 9.9373 Å and the angles 90.00°, 90.00° and 90.00°. The inequivalent atoms are La at (0.0000, 0.5000, 0.2425), Hg at (0.0000, 0.0000, 0.5000), As at (0.0000, 0.0000, 0.0000), As at (0.0000, 0.5000, 0.6404), As at (0.5000, 0.5000, 0.0000), Pt at (0.0000, 0.5000, 0.8896) and Pt at (0.5000, 0.5000, 0.5000).

For the calculated formation energy, the calculation gives -0.79 eV per atom. The mass density comes out at 10.7 g cm⁻³. Its magnetic moment is 0.00 μB per cell.

Below is a relaxed structure of LaHgSbAs2, with properties calculated at the PBE level.

The structure belongs to space group P4/mmm (No. 123); the cell edges are 5.7065, 5.7065 and 6.1945 Å and the angles 90.00°, 90.00° and 90.00°. The inequivalent atoms are La at (0.0000, 0.0000, 0.0000), Hg at (0.5000, 0.5000, 0.5000), Sb at (0.0000, 0.0000, 0.5000) and As at (0.0000, 0.5000, 0.0000).

The mass density comes out at 5.0 g cm⁻³. As for the energy relative to the elements, uncorrected: 0.51 eV/atom. Its magnetic moment is 0.00 μB per cell.

Below is a relaxed structure of La4HgAsSe2, with properties calculated at the PBE level.

The structure belongs to space group P2/m (No. 10); the cell edges are 7.6179, 4.3483 and 7.6530 Å and the angles 90.00°, 109.05° and 90.00°. The inequivalent atoms are La at (0.2409, 0.0000, 0.2370), La at (0.2500, 0.5000, 0.7603), Hg at (0.5000, 0.5000, 0.5000), As at (0.5000, 0.0000, 0.0000), Se at (0.0000, 0.0000, 0.5000) and Se at (0.0000, 0.5000, 0.0000).

The mass density comes out at 6.9 g cm⁻³. As for the energy relative to the elements, uncorrected: -1.47 eV/atom. Its magnetic moment is 0.00 μB per cell.

Below is a relaxed structure of LaSnHgAs2, with properties calculated at the PBE level.

The structure belongs to space group P4/mmm (No. 123); the cell edges are 5.2800, 5.2800 and 5.3169 Å and the angles 90.00°, 90.00° and 90.00°. The inequivalent atoms are La at (0.0000, 0.0000, 0.0000), Sn at (0.5000, 0.5000, 0.0000), Hg at (0.5000, 0.5000, 0.5000) and As at (0.0000, 0.5000, 0.5000).

For the calculated formation energy, the calculation gives 0.17 eV per atom. The mass density comes out at 6.8 g cm⁻³. Its magnetic moment is 0.00 μB per cell.

Number 1: total DFT energy (no corrections) -54.76 eV for the cell shown. Number 2: total DFT energy (no corrections) -16.09 eV for the cell shown. Number 3: total DFT energy (no corrections) -43.40 eV for the cell shown. Number 4: total DFT energy (no corrections) -17.69 eV for the cell shown.